Entry 1:
Entry from Alexandria: a relaxed Li2LaAlSe4 crystal (PBE).

VASP energy ... -4.594 eV/atom
Formation energy without anion corrections ... -10.318 eV per formula unit

a = 8.025 Å, b = 8.025 Å, c = 8.475 Å
α = 121.86°, β = 121.86°, γ = 89.04°
Fractional coordinates of all 16 atoms:
Se (0.263, 0.768, 0.516)
Se (0.732, 0.237, 0.984)
Se (0.737, 0.762, 0.957)
Se (0.738, 0.763, 0.543)
Se (0.262, 0.237, 0.457)
Se (0.268, 0.763, 0.016)
Se (0.737, 0.232, 0.484)
Se (0.263, 0.238, 0.043)
Li (0.500, 0.000, 0.500)
Li (0.000, 0.000, 0.500)
Li (0.500, 0.000, 0.000)
Li (0.500, 0.500, 0.000)
La (0.000, 0.500, 0.500)
La (0.000, 0.500, 0.000)
Al (0.500, 0.500, 0.500)
Al (0.000, 0.000, 0.000)



Entry 2:
Entry from Alexandria: a relaxed Ho5AlFe2 crystal (PBE).

ΔE_f ... -101 meV per atom
VASP energy ... -5.546 eV/atom

a = 7.373 Å, b = 7.373 Å, c = 8.722 Å
α = 115.01°, β = 115.01°, γ = 90.00°
Fractional coordinates of all 16 atoms:
Ho (0.000, 0.000, 0.000)
Ho (0.539, 0.688, 0.728)
Ho (0.461, 0.312, 0.272)
Ho (0.688, 0.188, 0.728)
Ho (0.500, 0.500, 0.000)
Ho (0.312, 0.812, 0.272)
Ho (0.039, 0.539, 0.728)
Ho (0.961, 0.461, 0.272)
Ho (0.188, 0.039, 0.728)
Ho (0.812, 0.961, 0.272)
Al (0.750, 0.750, 0.500)
Al (0.250, 0.250, 0.500)
Fe (0.606, 0.106, 0.000)
Fe (0.394, 0.894, 0.000)
Fe (0.106, 0.394, 0.000)
Fe (0.894, 0.606, 0.000)



Entry 3:
Entry from Alexandria: a relaxed Fe2GeTe crystal (PBE).

Relative energy among the computed polymorphs ... 268.9 meV per atom
VASP energy ... -5.555 eV/atom
Formation energy without anion corrections ... 2.465 eV per formula unit

a = 5.411 Å, b = 5.411 Å, c = 6.820 Å
α = 66.63°, β = 66.63°, γ = 90.00°
Fractional coordinates of all 8 atoms:
Te (0.750, 0.250, 0.500)
Te (0.000, 0.000, 0.000)
Ge (0.250, 0.750, 0.500)
Ge (0.500, 0.500, 0.000)
Fe (0.150, 0.625, 0.250)
Fe (0.875, 0.850, 0.750)
Fe (0.600, 0.125, 0.250)
Fe (0.375, 0.400, 0.750)



Entry 4:
Entry from Alexandria: a relaxed FeSb2Os crystal (PBE).

Relative energy among the computed polymorphs ... 194.4 meV per atom
VASP energy ... -6.507 eV/atom
Formation energy without anion corrections ... 1.909 eV per formula unit

a = 8.194 Å, b = 8.194 Å, c = 8.194 Å
α = 22.62°, β = 22.62°, γ = 22.62°
Fractional coordinates of all 4 atoms:
Sb (0.998, 0.998, 0.998)
Sb (0.502, 0.502, 0.502)
Os (0.750, 0.750, 0.750)
Fe (0.250, 0.250, 0.250)